P | Density functional theory data (GGA-PBEsol) for an optimized crystal structure of MgOs2Cl.

The structure in extended XYZ format:
```
4
Lattice="-1.406 2.234 4.797 1.406 -2.234 4.797 1.406 2.234 -4.797" Properties=species:S:1:pos:R:3 pbc="T T T"
Mg 0.000 0.000 0.000
Os 1.406 0.000 2.629
Os 0.000 2.234 2.169
Cl 0.000 0.000 4.797
```

Output
SG = Immm
ρ = 12.1 g cm⁻³

***

Q | Density functional theory data (GGA-PBEsol) for an optimized crystal structure of MgOs2Cl.

The structure in extended XYZ format:
```
4
Lattice="2.888 0.000 0.000 0.000 2.888 0.000 0.000 0.000 7.482" Properties=species:S:1:pos:R:3 pbc="T T T"
Mg 0.000 0.000 0.000
Os 0.000 0.000 3.517
Os 1.444 1.444 1.959
Cl 1.444 1.444 5.566
```

Output
SG = P4mm
ρ = 11.7 g cm⁻³

***

R | Density functional theory data (GGA-PBEsol) for an optimized crystal structure of MgOs2Cl.

The structure in extended XYZ format:
```
4
Lattice="1.388 -2.449 0.000 1.388 2.449 0.000 0.000 0.000 8.891" Properties=species:S:1:pos:R:3 pbc="T T T"
Mg 0.000 0.000 0.000
Os 1.388 0.000 2.293
Os 1.388 0.000 6.598
Cl 0.000 0.000 4.445
```

Output
SG = Cmmm
ρ = 12.1 g cm⁻³

***

S | Density functional theory data (GGA-PBEsol) for an optimized crystal structure of MgOs2Cl.

The structure in extended XYZ format:
```
4
Lattice="3.485 0.000 0.000 0.000 3.485 0.000 0.000 0.000 6.003" Properties=species:S:1:pos:R:3 pbc="T T T"
Mg 0.000 0.000 0.000
Os 0.000 1.743 3.002
Os 1.743 0.000 3.002
Cl 1.743 1.743 0.000
```

Output
SG = P4/mmm
ρ = 10.0 g cm⁻³

***

Most stable of them? Q.

***

P | Density functional theory data (GGA-PBEsol) for an optimized crystal structure of MgOs2Cl.

The structure in extended XYZ format:
```
4
Lattice="2.457 -4.841 0.000 2.457 4.841 0.000 0.000 0.000 2.738" Properties=species:S:1:pos:R:3 pbc="T T T"
Mg 0.000 0.000 0.000
Os 1.228 2.421 1.369
Os 1.228 -2.421 1.369
Cl 2.457 0.000 0.000
```

Output
SG = Cmmm
ρ = 11.2 g cm⁻³

***

Q | Density functional theory data (GGA-PBEsol) for an optimized crystal structure of MgOs2Cl.

The structure in extended XYZ format:
```
4
Lattice="0.000 3.069 3.069 3.069 0.000 3.069 3.069 3.069 0.000" Properties=species:S:1:pos:R:3 pbc="T T T"
Mg 0.000 0.000 0.000
Os 1.535 1.535 1.535
Os 4.604 4.604 4.604
Cl 3.069 3.069 3.069
```

Output
SG = Fm-3m
ρ = 12.6 g cm⁻³

***

Most stable of them? P.

***

P | Density functional theory data (GGA-PBEsol) for an optimized crystal structure of MgPbCl2.

The structure in extended XYZ format:
```
4
Lattice="5.722 -1.655 0.000 5.722 1.655 0.000 -1.350 0.000 5.568" Properties=species:S:1:pos:R:3 pbc="T T T"
Mg 0.000 0.000 0.000
Pb 7.516 0.000 2.225
Cl 3.931 0.000 0.330
Cl 5.269 0.000 3.949
```

Output
SG = Cm
ρ = 4.8 g cm⁻³

***

Q | Density functional theory data (GGA-PBEsol) for an optimized crystal structure of MgPbCl2.

The structure in extended XYZ format:
```
4
Lattice="1.731 0.999 11.298 -1.731 0.999 11.298 0.000 -1.999 11.298" Properties=species:S:1:pos:R:3 pbc="T T T"
Mg 0.000 0.000 0.000
Pb 0.000 0.000 16.947
Cl 0.000 0.000 9.865
Cl 0.000 0.000 24.029
```

Output
SG = R-3m
ρ = 4.3 g cm⁻³

***

R | Density functional theory data (GGA-PBEsol) for an optimized crystal structure of MgPbCl2.

The structure in extended XYZ format:
```
4
Lattice="1.757 -2.920 0.000 1.757 2.920 0.000 0.000 0.000 11.510" Properties=species:S:1:pos:R:3 pbc="T T T"
Mg 0.000 0.000 0.000
Pb 0.000 0.000 5.755
Cl 1.757 0.000 1.610
Cl 1.757 0.000 9.899
```

Output
SG = Cmmm
ρ = 4.3 g cm⁻³

***

S | Density functional theory data (GGA-PBEsol) for an optimized crystal structure of MgPbCl2.

The structure in extended XYZ format:
```
4
Lattice="3.216 -4.241 0.000 3.216 4.241 0.000 0.000 0.000 3.492" Properties=species:S:1:pos:R:3 pbc="T T T"
Mg 0.000 0.000 0.000
Pb 3.216 0.000 0.000
Cl 1.608 2.121 1.746
Cl 1.608 -2.121 1.746
```

Output
SG = Cmmm
ρ = 5.3 g cm⁻³

***

Most stable of them? Q.

***

P | Density functional theory data (GGA-PBEsol) for an optimized crystal structure of MgPbCl2.

The structure in extended XYZ format:
```
4
Lattice="-2.348 2.348 4.269 2.348 -2.348 4.269 2.348 2.348 -4.269" Properties=species:S:1:pos:R:3 pbc="T T T"
Mg 0.000 0.000 0.000
Pb 0.000 0.000 4.269
Cl 2.348 0.000 2.135
Cl 0.000 2.348 2.135
```

Output
SG = I4/mmm
ρ = 5.3 g cm⁻³

***

Q | Density functional theory data (GGA-PBEsol) for an optimized crystal structure of MgPbCl2.

The structure in extended XYZ format:
```
8
Lattice="-3.486 3.486 5.042 3.486 -3.486 5.042 3.486 3.486 -5.042" Properties=species:S:1:pos:R:3 pbc="T T T"
Mg 0.000 0.000 0.000
Mg 0.000 3.486 2.521
Pb 3.486 0.000 2.521
Pb 0.000 0.000 5.042
Cl 5.229 0.903 -1.261
Cl 0.903 1.743 1.261
Cl -1.743 2.583 3.782
Cl 2.583 1.743 6.303
```

Output
SG = I-42d
ρ = 4.1 g cm⁻³

***

R | Density functional theory data (GGA-PBEsol) for an optimized crystal structure of MgPbCl2.

The structure in extended XYZ format:
```
4
Lattice="1.889 1.091 8.817 -1.889 1.091 8.817 0.000 -2.182 8.817" Properties=species:S:1:pos:R:3 pbc="T T T"
Mg 0.000 0.000 0.000
Pb 0.000 0.000 6.219
Cl 0.000 0.000 13.179
Cl 0.000 0.000 18.909
```

Output
SG = R3m
ρ = 4.6 g cm⁻³

***

Most stable of them? R.

***

P | Density functional theory data (GGA-PBEsol) for an optimized crystal structure of MgPt2Cl.

The structure in extended XYZ format:
```
4
Lattice="-1.464 2.410 4.531 1.464 -2.410 4.531 1.464 2.410 -4.531" Properties=species:S:1:pos:R:3 pbc="T T T"
Mg 0.000 0.000 0.000
Pt 1.464 0.000 2.316
Pt 0.000 0.000 4.684
Cl 0.000 2.410 2.450
```

Output
SG = Imm2
ρ = 11.7 g cm⁻³

***

Q | Density functional theory data (GGA-PBEsol) for an optimized crystal structure of MgPt2Cl.

The structure in extended XYZ format:
```
4
Lattice="2.870 0.000 0.000 0.000 2.870 0.000 0.000 0.000 7.699" Properties=species:S:1:pos:R:3 pbc="T T T"
Mg 0.000 0.000 0.000
Pt 1.435 1.435 1.829
Pt 1.435 1.435 5.869
Cl 0.000 0.000 3.849
```

Output
SG = P4/mmm
ρ = 11.8 g cm⁻³

***

Most stable of them? Q.

***

P | Density functional theory data (GGA-PBEsol) for an optimized crystal structure of Mg2ReCl.

The structure in extended XYZ format:
```
4
Lattice="1.747 -2.231 0.000 1.747 2.231 0.000 0.000 0.000 9.977" Properties=species:S:1:pos:R:3 pbc="T T T"
Mg 0.000 0.000 0.000
Mg 1.747 0.000 2.638
Re 0.000 0.000 4.736
Cl 1.747 0.000 8.402
```

Output
SG = Cmm2
ρ = 5.8 g cm⁻³

***

Q | Density functional theory data (GGA-PBEsol) for an optimized crystal structure of Mg2ReCl.

The structure in extended XYZ format:
```
4
Lattice="2.815 0.000 0.000 0.000 4.987 0.000 -0.163 0.000 5.045" Properties=species:S:1:pos:R:3 pbc="T T T"
Mg 0.000 0.000 0.000
Mg -0.067 2.494 2.951
Re 1.337 0.000 2.551
Cl 0.962 2.494 0.467
```

Output
SG = Pm
ρ = 6.3 g cm⁻³

***

Most stable of them? Q.

***

P | Density functional theory data (GGA-PBEsol) for an optimized crystal structure of Mg2ReCl.

The structure in extended XYZ format:
```
4
Lattice="-1.450 2.422 5.148 1.450 -2.422 5.148 1.450 2.422 -5.148" Properties=species:S:1:pos:R:3 pbc="T T T"
Mg 0.000 0.000 0.000
Mg 0.000 2.422 1.996
Re 1.450 0.000 2.370
Cl 0.000 0.000 4.312
```

Output
SG = Imm2
ρ = 6.2 g cm⁻³

***

Q | Density functional theory data (GGA-PBEsol) for an optimized crystal structure of Mg2ReCl.

The structure in extended XYZ format:
```
4
Lattice="2.912 0.000 0.000 0.000 4.727 0.000 0.000 0.000 4.974" Properties=species:S:1:pos:R:3 pbc="T T T"
Mg 0.000 0.000 0.000
Mg 1.456 0.000 2.487
Re 0.000 2.364 2.487
Cl 1.456 2.364 0.000
```

Output
SG = Pmmm
ρ = 6.6 g cm⁻³

***

Most stable of them? P.

***

P | Density functional theory data (GGA-PBEsol) for an optimized crystal structure of MgRe2Cl.

The structure in extended XYZ format:
```
4
Lattice="2.508 -4.785 0.000 2.508 4.785 0.000 0.000 0.000 2.719" Properties=species:S:1:pos:R:3 pbc="T T T"
Mg 0.000 0.000 0.000
Re 1.254 2.393 1.360
Re 1.254 -2.393 1.360
Cl 2.508 0.000 0.000
```

Output
SG = Cmmm
ρ = 11.0 g cm⁻³

***

Q | Density functional theory data (GGA-PBEsol) for an optimized crystal structure of MgRe2Cl.

The structure in extended XYZ format:
```
4
Lattice="4.609 0.000 0.000 0.000 4.609 0.000 0.000 0.000 2.792" Properties=species:S:1:pos:R:3 pbc="T T T"
Mg 0.000 0.000 0.000
Re 0.000 2.304 1.396
Re 2.304 0.000 1.396
Cl 2.304 2.304 0.000
```

Output
SG = P4/mmm
ρ = 12.1 g cm⁻³

***

Most stable of them? P.

***

P | Density functional theory data (GGA-PBEsol) for an optimized crystal structure of MgRuCl2.

The structure in extended XYZ format:
```
4
Lattice="1.719 -2.618 0.000 1.719 2.618 0.000 0.000 0.000 8.596" Properties=species:S:1:pos:R:3 pbc="T T T"
Mg 0.000 0.000 0.000
Ru 1.719 0.000 2.209
Cl 0.000 0.000 3.709
Cl 1.719 0.000 6.981
```

Output
SG = Cmm2
ρ = 4.2 g cm⁻³

***

Q | Density functional theory data (GGA-PBEsol) for an optimized crystal structure of MgRuCl2.

The structure in extended XYZ format:
```
4
Lattice="3.045 -3.893 0.000 3.045 3.893 0.000 -1.852 0.000 2.884" Properties=species:S:1:pos:R:3 pbc="T T T"
Mg 0.000 0.000 0.000
Ru 3.045 0.000 0.000
Cl 1.522 1.946 0.000
Cl 1.522 -1.946 0.000
```

Output
SG = C2/m
ρ = 4.8 g cm⁻³

***

Most stable of them? P.

***

P | Density functional theory data (GGA-PBEsol) for an optimized crystal structure of MgScCl2.

The structure in extended XYZ format:
```
4
Lattice="1.678 0.969 9.578 -1.678 0.969 9.578 0.000 -1.938 9.578" Properties=species:S:1:pos:R:3 pbc="T T T"
Mg 0.000 0.000 0.000
Sc 0.000 0.000 14.367
Cl 0.000 0.000 6.434
Cl 0.000 0.000 22.300
```

Output
SG = R-3m
ρ = 2.5 g cm⁻³

***

Q | Density functional theory data (GGA-PBEsol) for an optimized crystal structure of MgScCl2.

The structure in extended XYZ format:
```
4
Lattice="3.156 0.000 0.000 0.000 3.156 0.000 0.000 0.000 9.176" Properties=species:S:1:pos:R:3 pbc="T T T"
Mg 0.000 0.000 0.000
Sc 0.000 0.000 4.588
Cl 1.578 1.578 3.089
Cl 1.578 1.578 6.087
```

Output
SG = P4/mmm
ρ = 2.5 g cm⁻³

***

Most stable of them? P.

***

P | Density functional theory data (GGA-PBEsol) for an optimized crystal structure of MgSeCl2.

The structure in extended XYZ format:
```
4
Lattice="1.666 0.962 10.416 -1.666 0.962 10.416 0.000 -1.924 10.416" Properties=species:S:1:pos:R:3 pbc="T T T"
Mg 0.000 0.000 0.000
Se 0.000 0.000 15.625
Cl 0.000 0.000 8.936
Cl 0.000 0.000 22.313
```

Output
SG = R-3m
ρ = 2.9 g cm⁻³

***

Q | Density functional theory data (GGA-PBEsol) for an optimized crystal structure of MgSeCl2.

The structure in extended XYZ format:
```
4
Lattice="4.884 0.000 0.000 0.000 3.909 0.000 -1.165 0.000 4.936" Properties=species:S:1:pos:R:3 pbc="T T T"
Mg 0.000 0.000 0.000
Se 3.195 1.955 3.248
Cl 0.126 1.955 1.931
Cl 2.413 0.000 0.203
```

Output
SG = Pm
ρ = 3.1 g cm⁻³

***

Most stable of them? P.

***

P | Density functional theory data (GGA-PBEsol) for an optimized crystal structure of MgSiCl2.

The structure in extended XYZ format:
```
4
Lattice="3.148 0.000 0.000 0.000 3.148 0.000 0.000 0.000 7.867" Properties=species:S:1:pos:R:3 pbc="T T T"
Mg 0.000 0.000 0.000
Si 1.574 1.574 1.861
Cl 0.000 0.000 3.476
Cl 1.574 1.574 6.536
```

Output
SG = P4mm
ρ = 2.6 g cm⁻³

***

Q | Density functional theory data (GGA-PBEsol) for an optimized crystal structure of MgSiCl2.

The structure in extended XYZ format:
```
4
Lattice="5.572 -1.578 0.000 5.572 1.578 0.000 -1.101 0.000 5.121" Properties=species:S:1:pos:R:3 pbc="T T T"
Mg 0.000 0.000 0.000
Si 5.021 0.000 2.561
Cl 2.944 0.000 4.042
Cl 7.099 0.000 1.080
```

Output
SG = C2/m
ρ = 2.3 g cm⁻³

***

R | Density functional theory data (GGA-PBEsol) for an optimized crystal structure of MgSiCl2.

The structure in extended XYZ format:
```
4
Lattice="5.319 -1.569 0.000 5.319 1.569 0.000 -1.205 0.000 5.260" Properties=species:S:1:pos:R:3 pbc="T T T"
Mg 0.000 0.000 0.000
Si 2.685 0.000 3.224
Cl 4.539 0.000 1.895
Cl 5.951 0.000 5.187
```

Output
SG = Cm
ρ = 2.3 g cm⁻³

***

Most stable of them? R.